[1]
# CsPPdO

A geometry-optimized CsPPdO structure (PBE, OQMD via LeMat-Bulk).

Geometry as CIF:
```
data_CsPPdO
_chemical_formula_sum 'Cs2 P2 Pd2 O2'
_space_group_name_H-M_alt 'P m c 21'
_space_group_IT_number 26
_space_group_name_Hall 'P 2c -2'
_cell_length_a 3.8220
_cell_length_b 6.4525
_cell_length_c 7.8559
_cell_angle_alpha 90.00
_cell_angle_beta 90.00
_cell_angle_gamma 90.00
loop_
_atom_site_label
_atom_site_type_symbol
_atom_site_fract_x
_atom_site_fract_y
_atom_site_fract_z
Cs1 Cs 0.0000 0.1313 0.0000
P1 P 0.5000 0.3685 0.6572
Pd1 Pd 0.5000 0.3811 0.3598
O1 O 0.0000 0.2903 0.3422
```

final energy	-0.161	Ha/atom
excess energy over the best structure of this formula in the dataset	5	kJ/mol of formula units
crystal system	orthorhombic


[2]
# CsPrP4O12

A geometry-optimized CsPrP4O12 structure (PBE, OQMD via LeMat-Bulk).

Geometry as CIF:
```
data_CsPrP4O12
_chemical_formula_sum 'Cs2 Pr2 P8 O24'
_space_group_name_H-M_alt 'P 1 21 1'
_space_group_IT_number 4
_space_group_name_Hall 'P 2yb'
_cell_length_a 7.1134
_cell_length_b 9.1384
_cell_length_c 8.7134
_cell_angle_alpha 90.00
_cell_angle_beta 99.33
_cell_angle_gamma 90.00
loop_
_atom_site_label
_atom_site_type_symbol
_atom_site_fract_x
_atom_site_fract_y
_atom_site_fract_z
Cs1 Cs 0.1649 0.0000 0.1695
Pr1 Pr 0.3002 0.8414 0.6934
P1 P 0.1400 0.4710 0.5463
P2 P 0.1891 0.4109 0.2254
P3 P 0.4180 0.6086 0.0618
P4 P 0.4370 0.2382 0.6347
O1 O 0.0152 0.8675 0.8211
O2 O 0.0396 0.8843 0.4845
O3 O 0.1364 0.6127 0.6294
O4 O 0.2219 0.5013 0.3872
O5 O 0.2229 0.5388 0.1056
O6 O 0.2979 0.3734 0.6525
O7 O 0.3323 0.0976 0.5974
O8 O 0.3421 0.2974 0.2340
O9 O 0.3613 0.6745 0.9064
O10 O 0.4188 0.7886 0.4604
O11 O 0.4216 0.0009 0.9134
O12 O 0.4569 0.7402 0.1856
```

final energy	-0.267	Ha/atom
crystal system	monoclinic


[3]
# CsRePO

A geometry-optimized CsRePO structure (PBE, OQMD via LeMat-Bulk).

Geometry as CIF:
```
data_CsRePO
_chemical_formula_sum 'Cs2 Re2 P2 O2'
_space_group_name_H-M_alt 'P m c 21'
_space_group_IT_number 26
_space_group_name_Hall 'P 2c -2'
_cell_length_a 3.8274
_cell_length_b 6.8184
_cell_length_c 7.5683
_cell_angle_alpha 90.00
_cell_angle_beta 90.00
_cell_angle_gamma 90.00
loop_
_atom_site_label
_atom_site_type_symbol
_atom_site_fract_x
_atom_site_fract_y
_atom_site_fract_z
Cs1 Cs 0.0000 0.1670 0.0000
Re1 Re 0.5000 0.3336 0.4175
P1 P 0.5000 0.4437 0.7004
O1 O 0.0000 0.2963 0.4139
```

final energy	-0.235	Ha/atom
excess energy over the best structure of this formula in the dataset	19	kJ/mol of formula units
crystal system	orthorhombic


[4]
# CsRePO

A geometry-optimized CsRePO structure (PBE, OQMD via LeMat-Bulk).

Geometry as CIF:
```
data_CsRePO
_chemical_formula_sum 'Cs2 Re2 P2 O2'
_space_group_name_H-M_alt 'P m c 21'
_space_group_IT_number 26
_space_group_name_Hall 'P 2c -2'
_cell_length_a 3.6051
_cell_length_b 8.2228
_cell_length_c 6.8674
_cell_angle_alpha 90.00
_cell_angle_beta 90.00
_cell_angle_gamma 90.00
loop_
_atom_site_label
_atom_site_type_symbol
_atom_site_fract_x
_atom_site_fract_y
_atom_site_fract_z
Cs1 Cs 0.0000 0.1850 0.0000
Re1 Re 0.5000 0.4145 0.5512
P1 P 0.0000 0.2466 0.5021
O1 O 0.5000 0.4456 0.8281
```

final energy	-0.237	Ha/atom
excess energy over the best structure of this formula in the dataset	0	kJ/mol of formula units
crystal system	orthorhombic